Pa2Ge2Ru4C: optimized geometry, PBE.

POSCAR file:
```
Pa2Ge2Ru4C
1.0
-2.996 2.996 4.120
2.996 -2.996 4.120
2.996 2.996 -4.120
Pa Ge Ru C
2 2 4 1
Direct
0.222 0.222 0.000 Pa
0.778 0.778 0.000 Pa
0.250 0.750 0.500 Ge
0.750 0.250 0.500 Ge
0.248 0.248 0.496 Ru
0.248 0.752 0.000 Ru
0.752 0.248 0.000 Ru
0.752 0.752 0.504 Ru
0.500 0.500 0.000 C
```

The calculation puts the formation energy at -0.171 eV per atom.